Entry 1:
# PBE TbCoSi2, relaxed
data_TbCoSi2
_chemical_formula_sum 'Tb1 Co1 Si2'
_space_group_name_H-M_alt 'P 1'
_space_group_IT_number 1
_space_group_name_Hall 'P 1'
_cell_length_a 3.890
_cell_length_b 3.890
_cell_length_c 5.490
_cell_angle_alpha 69.25
_cell_angle_beta 69.25
_cell_angle_gamma 60.00
loop_
_atom_site_label
_atom_site_type_symbol
_atom_site_fract_x
_atom_site_fract_y
_atom_site_fract_z
Co1 Co 0.000 0.000 0.000
Si1 Si 0.708 0.708 0.877
Si2 Si 0.292 0.292 0.123
Tb1 Tb 0.500 0.500 0.500
# space group = R-3m, No. 166
# energy = -6.4170 eV per atom
# energy relative to the elements, uncorrected = -771 meV per atom
# V = 16.41 Å³/atom


Entry 2:
# PBE TbCo12Si6, relaxed
data_TbCo12Si6
_chemical_formula_sum 'Tb1 Co12 Si6'
_space_group_name_H-M_alt 'P 1'
_space_group_IT_number 1
_space_group_name_Hall 'P 1'
_cell_length_a 6.496
_cell_length_b 6.496
_cell_length_c 6.496
_cell_angle_alpha 105.26
_cell_angle_beta 105.26
_cell_angle_gamma 105.26
loop_
_atom_site_label
_atom_site_type_symbol
_atom_site_fract_x
_atom_site_fract_y
_atom_site_fract_z
Tb1 Tb 0.000 0.000 0.000
Co1 Co 0.871 0.129 0.500
Co2 Co 0.821 0.562 0.562
Co3 Co 0.562 0.562 0.821
Co4 Co 0.438 0.179 0.438
Co5 Co 0.438 0.438 0.179
Co6 Co 0.179 0.438 0.438
Co7 Co 0.129 0.500 0.871
Co8 Co 0.500 0.871 0.129
Co9 Co 0.129 0.871 0.500
Co10 Co 0.871 0.500 0.129
Co11 Co 0.500 0.129 0.871
Co12 Co 0.562 0.821 0.562
Si1 Si 0.693 0.244 0.244
Si2 Si 0.244 0.244 0.693
Si3 Si 0.244 0.693 0.244
Si4 Si 0.756 0.756 0.307
Si5 Si 0.307 0.756 0.756
Si6 Si 0.756 0.307 0.756
# space group = R-3m, No. 166
# energy = -6.8118 eV per atom
# energy relative to the elements, uncorrected = -368 meV per atom
# V = 12.54 Å³/atom


Entry 3:
# PBE TbCo2Si3, relaxed
data_TbCo2Si3
_chemical_formula_sum 'Tb2 Co4 Si6'
_space_group_name_H-M_alt 'P 1'
_space_group_IT_number 1
_space_group_name_Hall 'P 1'
_cell_length_a 5.016
_cell_length_b 5.957
_cell_length_c 5.957
_cell_angle_alpha 104.63
_cell_angle_beta 90.00
_cell_angle_gamma 90.00
loop_
_atom_site_label
_atom_site_type_symbol
_atom_site_fract_x
_atom_site_fract_y
_atom_site_fract_z
Tb1 Tb 0.250 0.337 0.337
Tb2 Tb 0.750 0.663 0.663
Co1 Co 0.500 0.801 0.199
Co2 Co 0.000 0.801 0.199
Co3 Co 0.000 0.199 0.801
Co4 Co 0.500 0.199 0.801
Si1 Si 0.750 0.474 0.096
Si2 Si 0.750 0.096 0.474
Si3 Si 0.250 0.526 0.904
Si4 Si 0.750 0.066 0.066
Si5 Si 0.250 0.934 0.934
Si6 Si 0.250 0.904 0.526
# space group = Cmcm, No. 63
# energy = -6.5309 eV per atom
# energy above the lowest structure with this stoichiometry = 0.008 eV per atom
# energy relative to the elements, uncorrected = -679 meV per atom
# V = 14.35 Å³/atom


Entry 4:
# PBE Tb2Co5Si4, relaxed
data_Tb2Co5Si4
_chemical_formula_sum 'Tb2 Co5 Si4'
_space_group_name_H-M_alt 'P 1'
_space_group_IT_number 1
_space_group_name_Hall 'P 1'
_cell_length_a 5.328
_cell_length_b 5.295
_cell_length_c 7.097
_cell_angle_alpha 79.12
_cell_angle_beta 67.95
_cell_angle_gamma 59.80
loop_
_atom_site_label
_atom_site_type_symbol
_atom_site_fract_x
_atom_site_fract_y
_atom_site_fract_z
Tb1 Tb 0.867 0.000 0.265
Tb2 Tb 0.133 0.000 0.735
Co1 Co 0.500 0.000 0.000
Co2 Co 0.000 0.500 0.000
Co3 Co 0.500 0.500 0.000
Co4 Co 0.250 0.500 0.500
Co5 Co 0.750 0.500 0.500
Si1 Si 0.478 0.307 0.737
Si2 Si 0.522 0.693 0.263
Si3 Si 0.215 0.307 0.263
Si4 Si 0.785 0.693 0.737
# space group = Fmmm, No. 69
# energy = -6.7264 eV per atom
# energy relative to the elements, uncorrected = -683 meV per atom
# V = 14.58 Å³/atom


Entry 5:
# PBE TbCo2Si3, relaxed
data_TbCo2Si3
_chemical_formula_sum 'Tb3 Co6 Si9'
_space_group_name_H-M_alt 'P 1'
_space_group_IT_number 1
_space_group_name_Hall 'P 1'
_cell_length_a 3.787
_cell_length_b 7.878
_cell_length_c 9.181
_cell_angle_alpha 103.58
_cell_angle_beta 90.00
_cell_angle_gamma 103.91
loop_
_atom_site_label
_atom_site_type_symbol
_atom_site_fract_x
_atom_site_fract_y
_atom_site_fract_z
Tb1 Tb 0.150 0.301 0.699
Tb2 Tb 0.850 0.699 0.301
Tb3 Tb 0.000 0.000 0.000
Co1 Co 0.209 0.417 0.086
Co2 Co 0.791 0.583 0.914
Co3 Co 0.496 0.992 0.239
Co4 Co 0.504 0.008 0.761
Co5 Co 0.355 0.711 0.562
Co6 Co 0.645 0.289 0.438
Si1 Si 0.052 0.104 0.359
Si2 Si 0.948 0.896 0.641
Si3 Si 0.223 0.447 0.377
Si4 Si 0.777 0.553 0.623
Si5 Si 0.641 0.283 0.189
Si6 Si 0.359 0.717 0.811
Si7 Si 0.500 0.000 0.500
Si8 Si 0.356 0.713 0.068
Si9 Si 0.644 0.287 0.932
# space group = C2/m, No. 12
# energy = -6.5387 eV per atom
# energy above the lowest structure with this stoichiometry = 0.000 eV per atom
# energy relative to the elements, uncorrected = -687 meV per atom
# V = 14.33 Å³/atom


Entry 6:
# PBE Tb2CoSi3, relaxed
data_Tb2CoSi3
_chemical_formula_sum 'Tb4 Co2 Si6'
_space_group_name_H-M_alt 'P 1'
_space_group_IT_number 1
_space_group_name_Hall 'P 1'
_cell_length_a 5.689
_cell_length_b 5.689
_cell_length_c 8.007
_cell_angle_alpha 111.04
_cell_angle_beta 111.04
_cell_angle_gamma 89.39
loop_
_atom_site_label
_atom_site_type_symbol
_atom_site_fract_x
_atom_site_fract_y
_atom_site_fract_z
Tb1 Tb 0.250 0.750 0.500
Tb2 Tb 0.750 0.750 0.000
Tb3 Tb 0.750 0.250 0.500
Tb4 Tb 0.250 0.250 0.000
Co1 Co 0.666 0.666 0.332
Co2 Co 0.334 0.334 0.668
Si1 Si 0.344 0.828 0.172
Si2 Si 0.172 0.656 0.828
Si3 Si 0.656 0.172 0.828
Si4 Si 0.828 0.344 0.172
Si5 Si 0.172 0.172 0.344
Si6 Si 0.828 0.828 0.656
# space group = Fmmm, No. 69
# energy = -6.2130 eV per atom
# energy relative to the elements, uncorrected = -774 meV per atom
# V = 18.63 Å³/atom